ScZnRh: relaxed, PBE-GGA.

Properties
D(E_F)   1.45 states/eV/f.u.
Crystal system   trigonal
Energy of formation from the pure elements   -0.360 eV/atom
SG   P3m1

a = 3.257 Å, b = 3.257 Å, c = 5.834 Å
α = 90.00°, β = 90.00°, γ = 120.00°
Sites, in units of the cell vectors:
Rh  0.000  0.000  0.000
Sc  0.667  0.333  0.307
Zn  0.333  0.667  0.693



Sc5Zn4Rh: relaxed, PBE-GGA.

Properties
D(E_F)   7.58 states/eV/f.u.
Crystal system   tetragonal
Energy of formation from the pure elements   -0.502 eV/atom
SG   P4/mmm

a = 3.329 Å, b = 3.329 Å, c = 16.610 Å
α = 90.00°, β = 90.00°, γ = 90.00°
Sites, in units of the cell vectors:
Sc  0.500  0.500  0.093
Sc  0.500  0.500  0.297
Sc  0.500  0.500  0.500
Sc  0.500  0.500  0.703
Sc  0.500  0.500  0.907
Zn  0.000  0.000  0.197
Zn  0.000  0.000  0.399
Zn  0.000  0.000  0.601
Zn  0.000  0.000  0.803
Rh  0.000  0.000  0.000